[1]
SrVPdO5: relaxed, PBE with a Hubbard U.

abc: 6.2829 6.2829 7.0529
angles: 101.75 101.75 114.62
Last column: magnetic moment on the atom in μB.
Positions (direct):
Pd 0.0000 0.0000 0.0000  0.30
O 0.0748 0.9252 0.2500  0.20
O 0.2709 0.3603 0.5713  0.01
Pd 0.0000 0.0000 0.5000  0.30
O 0.9252 0.0748 0.7500  0.20
Sr 0.6746 0.3254 0.7500  0.00
Sr 0.3254 0.6746 0.2500  0.00
O 0.6397 0.7291 0.9287  0.01
O 0.3603 0.2709 0.0713  0.01
O 0.8586 0.3761 0.1239  0.02
O 0.1414 0.6239 0.8761  0.02
V 0.3526 0.6474 0.7500  0.00
O 0.7291 0.6397 0.4287  0.01
V 0.6474 0.3526 0.2500  0.00
O 0.6239 0.1414 0.3761  0.02
O 0.3761 0.8586 0.6239  0.02

Summary:
Symmetry   C2/c (15)
DFT total energy   -6.627 eV per atom

[2]
Sr2VPdO6: relaxed, PBE with a Hubbard U.

abc: 5.5862 5.5680 8.0094
angles: 90.00 89.90 90.00
Positions (direct):
O 0.7084 0.2709 0.9711
V 0.5000 0.0000 0.0000
O 0.2685 0.7102 0.4709
O 0.7916 0.7709 0.5289
O 0.4459 0.9944 0.7658
O 0.5541 0.0056 0.2342
O 0.2916 0.7291 0.0289
Sr 0.5042 0.5237 0.7499
Pd 0.5000 0.0000 0.5000
O 0.2315 0.2102 0.0291
O 0.7685 0.7898 0.9709
Pd 0.0000 0.5000 0.0000
O 0.0541 0.4944 0.7342
O 0.7315 0.2898 0.5291
Sr 0.4958 0.4763 0.2501
Sr 0.0042 0.9763 0.2499
Sr 0.9958 0.0237 0.7501
V 0.0000 0.5000 0.5000
O 0.9459 0.5056 0.2658
O 0.2084 0.2291 0.4711

Summary:
Symmetry   P2_1/c (14)
DFT total energy   -6.527 eV per atom

Question: Which of these has the highest DFT total energy?
Answer: Sr2VPdO6